(1)
Computed, not measured: an optimized crystal structure of CrSI2N at the PBE level of DFT.

density = 5.2 g cm⁻³
uncorrected formation energy = 1.466 eV/atom

a b c (Å): 5.7671 5.7671 3.3879
angles (deg): 90.00 90.00 90.00
Closest atoms and distances in Å follow each position.
Positions (direct):
Cr: 0.0000 0.0000 0.0000  8 I 3.34, 2 Cr 3.39
S: 0.5000 0.5000 0.5000  2 N 1.69
I: 0.0000 0.5000 0.5000  2 S 2.88
I: 0.5000 0.0000 0.5000  2 S 2.88
N: 0.5000 0.5000 0.0000  2 S 1.69

(2)
Computed, not measured: an optimized crystal structure of Pr6Nd3Er2 at the PBE level of DFT.

density = 6.7 g cm⁻³
E_form = 0.27 eV/atom

a b c (Å): 17.4503 17.4503 17.4503
angles (deg): 164.05 164.05 22.64
Closest atoms and distances in Å follow each position.
Positions (direct):
Pr: 0.1186 0.6186 0.5000  6 Pr 3.42-3.78, 2 Er 3.50, 2 Nd 3.59
Pr: 0.2035 0.2035 0.0000  5 Nd 3.43-3.45, 4 Pr 3.78
Pr: 0.3814 0.8814 0.5000  6 Pr 3.42-3.78, 2 Er 3.50, 2 Nd 3.59
Pr: 0.6186 0.1186 0.5000  6 Pr 3.42-3.78, 2 Er 3.50, 2 Nd 3.59
Pr: 0.7965 0.7965 0.0000  5 Nd 3.43-3.45, 4 Pr 3.78
Pr: 0.8814 0.3814 0.5000  6 Pr 3.42-3.78, 2 Er 3.50, 2 Nd 3.59
Nd: 0.3041 0.3041 0.0000  9 Pr 3.43-3.59
Nd: 0.5000 0.5000 0.0000  8 Er 3.75
Nd: 0.6959 0.6959 0.0000  9 Pr 3.43-3.59
Er: 0.0449 0.0449 0.0000  1 Er 3.07
Er: 0.9551 0.9551 0.0000  1 Er 3.07

(3)
Computed, not measured: an optimized crystal structure of SrIn2Au at the PBE level of DFT.

density = 8.2 g cm⁻³
E_form = -0.38 eV/atom

a b c (Å): 5.2668 5.2668 5.2668
angles (deg): 119.64 119.47 90.78
Closest atoms and distances in Å follow each position.
Positions (direct):
Sr: 0.0000 0.0000 0.0000  4 Au 3.23, 4 In 3.23
In: 0.2507 0.7507 0.5000  4 In 3.23-3.24, 4 Sr 3.23
In: 0.5004 0.5004 0.0000  4 Au 3.23-3.24, 4 In 3.23-3.24
Au: 0.7494 0.2494 0.5000  4 In 3.23-3.24, 4 Sr 3.23

(4)
Computed, not measured: an optimized crystal structure of InMoCl at the PBE level of DFT.

density = 7.1 g cm⁻³
uncorrected formation energy = 0.430 eV/atom

a b c (Å): 5.7140 5.7140 5.7140
angles (deg): 150.49 140.90 49.74
Closest atoms and distances in Å follow each position.
Positions (direct):
In: 0.0000 0.0000 0.0000  2 In 2.91, 1 Cl 2.95, 5 Mo 3.11-3.18
Mo: 0.2997 0.2997 0.0000  4 Cl 2.56
Cl: 0.7150 0.7150 0.0000  4 Mo 2.56

(5)
Computed, not measured: an optimized crystal structure of K3Nd2ErS6 at the PBE level of DFT.

density = 3.9 g cm⁻³
uncorrected formation energy = -1.860 eV/atom

a b c (Å): 7.1676 7.1676 7.7668
angles (deg): 98.86 98.86 120.00
Closest atoms and distances in Å follow each position.
Positions (direct):
K: 0.0000 0.0000 0.0000  6 S 3.21-3.29
K: 0.3325 0.6675 0.0000  6 S 3.21-3.28
K: 0.6675 0.3325 0.0000  6 S 3.21-3.28
Nd: 0.1666 0.8334 0.5000  6 S 2.86
Nd: 0.8334 0.1666 0.5000  6 S 2.86
Er: 0.5000 0.5000 0.5000  6 S 2.77
S: 0.1086 0.4317 0.2951  1 Er 2.77, 2 Nd 2.86
S: 0.2453 0.2453 0.7047  1 Er 2.77, 2 Nd 2.86
S: 0.4317 0.1086 0.2951  1 Er 2.77, 2 Nd 2.86
S: 0.5683 0.8914 0.7049  1 Er 2.77, 2 Nd 2.86
S: 0.7547 0.7547 0.2953  1 Er 2.77, 2 Nd 2.86
S: 0.8914 0.5683 0.7049  1 Er 2.77, 2 Nd 2.86

(6)
Computed, not measured: an optimized crystal structure of VNi2Pt6 at the PBE level of DFT.

density = 17.2 g cm⁻³
E_form = -0.27 eV/atom

a b c (Å): 4.7021 4.7021 8.1905
angles (deg): 106.04 106.04 48.53
Closest atoms and distances in Å follow each position.
Positions (direct):
V: 0.0000 0.0000 0.0000  8 Pt 2.61-2.74, 4 Ni 2.70
Ni: 0.3386 0.3386 0.7842  10 Pt 2.63-2.78, 2 V 2.70
Ni: 0.6614 0.6614 0.2158  10 Pt 2.63-2.78, 2 V 2.70
Pt: 0.0013 0.0013 0.6817  1 V 2.61, 3 Ni 2.66-2.76, 7 Pt 2.70-2.81
Pt: 0.3328 0.3328 0.4446  9 Pt 2.71-2.81, 3 Ni 2.77-2.78
Pt: 0.3351 0.3351 0.1036  4 Ni 2.63-2.76, 3 V 2.68-2.74, 5 Pt 2.69-2.80
Pt: 0.6649 0.6649 0.8964  4 Ni 2.63-2.76, 3 V 2.68-2.74, 5 Pt 2.69-2.80
Pt: 0.6672 0.6672 0.5554  9 Pt 2.71-2.81, 3 Ni 2.77-2.78
Pt: 0.9987 0.9987 0.3183  1 V 2.61, 3 Ni 2.66-2.76, 7 Pt 2.70-2.81

| no. | DOS at the Fermi energy (states/eV per atom) | uncorrected energy (eV per atom) |
| --- | --- | --- |
| 1 | 1.185 | -3.57 |
| 2 | 1.562 | -4.46 |
| 3 | 0.375 | -2.99 |
| 4 | 0.629 | -4.71 |
| 5 | 0.000 | -5.37 |
| 6 | 1.122 | -6.60 |